VASP calculation (PBE-GGA) on ThFeCo4 after structural relaxation.

```
ThFeCo4
1.0
4.996 0.000 0.000
-2.498 4.327 0.000
0.000 0.000 3.973
Th Fe Co
1 1 4
direct
0.000 0.000 0.000
0.333 0.667 0.000
0.501 0.002 0.500
0.501 0.499 0.500
0.667 0.333 0.000
0.998 0.499 0.500
```

Total magnetic moment   7.05 μB/cell
Formation enthalpy at 0 K   -0.130 eV per atom
Raw total energy   -45.08 eV/cell
SG   P-6m2 (187)


VASP calculation (PBE-GGA) on ThFe4Co after structural relaxation.

```
ThFe4Co
1.0
0.000 3.534 3.534
3.534 0.000 3.534
3.534 3.534 0.000
Th Fe Co
1 4 1
direct
0.000 0.000 0.000
0.128 0.624 0.624
0.624 0.128 0.624
0.624 0.624 0.128
0.624 0.624 0.624
0.250 0.250 0.250
```

Total magnetic moment   10.69 μB/cell
Formation enthalpy at 0 K   0.063 eV per atom
Raw total energy   -48.00 eV/cell
SG   F-43m (216)


VASP calculation (PBE-GGA) on ThFeCo4 after structural relaxation.

```
ThFeCo4
1.0
0.000 3.497 3.497
3.497 0.000 3.497
3.497 3.497 0.000
Th Fe Co
1 1 4
direct
0.000 0.000 0.000
0.750 0.750 0.750
0.376 0.376 0.376
0.376 0.376 0.871
0.376 0.871 0.376
0.871 0.376 0.376
```

Total magnetic moment   7.76 μB/cell
Formation enthalpy at 0 K   -0.028 eV per atom
Raw total energy   -44.47 eV/cell
SG   F-43m (216)


VASP calculation (PBE-GGA) on Th2FeCo3 after structural relaxation.

```
Th2FeCo3
1.0
0.000 3.996 6.872
3.971 0.000 6.872
3.971 3.996 0.000
Th Fe Co
4 2 6
direct
0.248 0.752 0.248
0.250 0.250 0.250
0.750 0.750 0.750
0.752 0.248 0.752
0.333 0.333 0.667
0.667 0.667 0.333
0.169 0.169 0.831
0.170 0.661 0.830
0.339 0.830 0.661
0.661 0.170 0.339
0.830 0.339 0.170
0.831 0.831 0.169
```

Total magnetic moment   3.71 μB/cell
Formation enthalpy at 0 K   -0.184 eV per atom
Raw total energy   -91.45 eV/cell
SG   Fmmm (69)


VASP calculation (PBE-GGA) on Th4FeCo after structural relaxation.

```
Th4FeCo
1.0
6.148 0.000 0.000
0.000 6.870 0.000
-2.278 0.000 7.107
Th Fe Co
8 2 2
direct
0.001 0.000 0.248
0.001 0.500 0.248
0.443 0.250 0.110
0.445 0.250 0.613
0.555 0.750 0.387
0.557 0.750 0.890
0.999 0.000 0.752
0.999 0.500 0.752
0.198 0.750 0.050
0.802 0.250 0.950
0.193 0.750 0.550
0.807 0.250 0.450
```

Total magnetic moment   0.00 μB/cell
Formation enthalpy at 0 K   -0.147 eV per atom
Raw total energy   -92.26 eV/cell
SG   P2_1/m (11)


VASP calculation (PBE-GGA) on ThFeCo after structural relaxation.

```
ThFeCo
1.0
-2.469 2.701 3.702
2.469 -2.701 3.702
2.469 2.701 -3.702
Th Fe Co
2 2 2
direct
0.368 0.118 0.250
0.632 0.882 0.750
0.000 0.000 0.500
0.000 0.500 0.000
0.000 0.500 0.500
0.500 0.500 0.000
```

Total magnetic moment   3.96 μB/cell
Formation enthalpy at 0 K   -0.117 eV per atom
Raw total energy   -46.68 eV/cell
SG   Imma (74)


VASP calculation (PBE-GGA) on ThUFeCo after structural relaxation.

```
ThUFeCo
1.0
2.086 1.204 5.197
-2.086 1.204 5.197
0.000 -2.408 5.197
Th U Fe Co
1 1 1 1
direct
0.000 0.000 0.000
0.499 0.499 0.499
0.794 0.794 0.794
0.207 0.207 0.207
```

Total magnetic moment   0.84 μB/cell
Formation enthalpy at 0 K   -0.185 eV per atom
Raw total energy   -35.02 eV/cell
SG   R3m (160)


VASP calculation (PBE-GGA) on Th2V3FeCo12 after structural relaxation.

```
Th2V3FeCo12
1.0
3.005 1.735 8.248
-3.005 1.735 8.248
0.000 -3.470 8.248
Th V Fe Co
2 3 1 12
direct
0.160 0.160 0.160
0.840 0.840 0.840
0.000 0.500 0.500
0.500 0.000 0.500
0.500 0.500 0.000
0.500 0.500 0.500
0.080 0.080 0.686
0.080 0.686 0.080
0.153 0.566 0.566
0.314 0.920 0.920
0.434 0.434 0.847
0.434 0.847 0.434
0.566 0.153 0.566
0.566 0.566 0.153
0.686 0.080 0.080
0.847 0.434 0.434
0.920 0.314 0.920
0.920 0.920 0.314
```

Total magnetic moment   9.49 μB/cell
Formation enthalpy at 0 K   0.273 eV per atom
Raw total energy   -131.02 eV/cell
SG   R-3m (166)


VASP calculation (PBE-GGA) on YThFeCo after structural relaxation.

```
YThFeCo
1.0
0.000 3.412 3.412
3.412 0.000 3.412
3.412 3.412 0.000
Y Th Fe Co
1 1 1 1
direct
0.000 0.000 0.000
0.500 0.500 0.500
0.750 0.750 0.750
0.250 0.250 0.250
```

Total magnetic moment   0.94 μB/cell
Formation enthalpy at 0 K   -0.002 eV per atom
Raw total energy   -29.46 eV/cell
SG   F-43m (216)


VASP calculation (PBE-GGA) on Th2ZnFe2Co5 after structural relaxation.

```
Th2ZnFe2Co5
1.0
8.872 0.000 0.000
0.000 8.872 0.000
0.000 0.000 3.839
Th Zn Fe Co
4 2 4 10
direct
0.191 0.309 0.000
0.309 0.809 0.000
0.691 0.191 0.000
0.809 0.691 0.000
0.000 0.000 0.000
0.500 0.500 0.000
0.106 0.606 0.000
0.394 0.106 0.000
0.606 0.894 0.000
0.894 0.394 0.000
0.000 0.500 0.500
0.056 0.791 0.500
0.209 0.056 0.500
0.291 0.556 0.500
0.444 0.291 0.500
0.500 0.000 0.500
0.556 0.709 0.500
0.709 0.444 0.500
0.791 0.944 0.500
0.944 0.209 0.500
```

Total magnetic moment   16.88 μB/cell
Formation enthalpy at 0 K   -0.016 eV per atom
Raw total energy   -137.46 eV/cell
SG   P4/mbm (127)


VASP calculation (PBE-GGA) on Ti3Fe2Co after structural relaxation.

```
Ti3Fe2Co
1.0
4.191 0.000 0.000
-2.096 3.630 0.000
0.000 0.000 10.249
Ti Fe Co
6 4 2
direct
0.000 0.000 0.248
0.000 0.000 0.752
0.333 0.667 0.417
0.333 0.667 0.918
0.667 0.333 0.082
0.667 0.333 0.583
0.000 0.000 0.000
0.000 0.000 0.500
0.333 0.667 0.167
0.667 0.333 0.833
0.333 0.667 0.667
0.667 0.333 0.333
```

Total magnetic moment   1.64 μB/cell
Formation enthalpy at 0 K   -0.400 eV per atom
Raw total energy   -100.23 eV/cell
SG   P-3m1 (164)


VASP calculation (PBE-GGA) on TiFe3Co after structural relaxation.

```
TiFe3Co
1.0
4.277 0.000 0.000
0.000 4.277 0.000
0.000 0.000 4.277
Ti Fe Co
1 3 1
direct
0.000 0.000 0.000
0.000 0.500 0.500
0.500 0.000 0.500
0.500 0.500 0.000
0.500 0.500 0.500
```

Total magnetic moment   7.53 μB/cell
Formation enthalpy at 0 K   0.791 eV per atom
Raw total energy   -36.43 eV/cell
SG   Pm-3m (221)